Rb3ZrPa3Se8 | GGA-PBE | optimized geometry

total DFT energy (no corrections) = -5.86 eV per atom
total moment = 5.93 μB per formula unit
Fermi-level density of states = 15.73 states/eV per cell
mass density = 5.76 g cm⁻³
calculated volume = 32.16 Å³/atom

Unit cell a=9.591 b=9.591 c=9.591 alpha=50.39 beta=50.39 gamma=50.39
Fractional positions:
Rb: 0.000 0.500 0.500
Rb: 0.500 0.000 0.500
Rb: 0.500 0.500 0.000
Zr: 0.500 0.500 0.500
Pa: 0.000 0.000 0.500
Pa: 0.000 0.500 0.000
Pa: 0.500 0.000 0.000
Se: 0.235 0.235 0.235
Se: 0.241 0.727 0.727
Se: 0.273 0.273 0.759
Se: 0.273 0.759 0.273
Se: 0.727 0.241 0.727
Se: 0.727 0.727 0.241
Se: 0.759 0.273 0.273
Se: 0.765 0.765 0.765